# CdW2Se SCAN PBEsol geometry
data_CdW2Se
_chemical_formula_sum 'Cd1 W2 Se1'
_cell_length_a 3.051
_cell_length_b 3.051
_cell_length_c 7.031
_cell_angle_alpha 90.00
_cell_angle_beta 90.00
_cell_angle_gamma 90.00
_space_group_name_H-M_alt 'P 4/m m m'
_space_group_IT_number 123
_space_group_name_Hall '-P 4 2'
loop_
_atom_site_label
_atom_site_type_symbol
_atom_site_fract_x
_atom_site_fract_y
_atom_site_fract_z
Cd1 Cd 0.000 0.000 0.000
W1 W 0.500 0.500 0.292
Se1 Se 0.000 0.000 0.500
# - ΔE to the lowest computed polymorph: 408.9 meV/atom
# - Formation energy without anion corrections: 0.827 eV/atom


# RbMn3Si SCAN PBEsol geometry
data_RbMn3Si
_chemical_formula_sum 'Rb1 Mn3 Si1'
_cell_length_a 4.692
_cell_length_b 4.692
_cell_length_c 4.692
_cell_angle_alpha 90.00
_cell_angle_beta 90.00
_cell_angle_gamma 90.00
_space_group_name_H-M_alt 'P m -3 m'
_space_group_IT_number 221
_space_group_name_Hall '-P 4 2 3'
loop_
_atom_site_label
_atom_site_type_symbol
_atom_site_fract_x
_atom_site_fract_y
_atom_site_fract_z
Rb1 Rb 0.000 0.000 0.000
Mn1 Mn 0.000 0.000 0.500
Si1 Si 0.500 0.500 0.500
# - Formation energy without anion corrections: 2.319 eV/atom


# KSiTcIr2 SCAN PBEsol geometry
data_KSiTcIr2
_chemical_formula_sum 'K1 Si1 Tc1 Ir2'
_cell_length_a 4.431
_cell_length_b 4.431
_cell_length_c 5.092
_cell_angle_alpha 90.00
_cell_angle_beta 90.00
_cell_angle_gamma 90.00
_space_group_name_H-M_alt 'P 4/m m m'
_space_group_IT_number 123
_space_group_name_Hall '-P 4 2'
loop_
_atom_site_label
_atom_site_type_symbol
_atom_site_fract_x
_atom_site_fract_y
_atom_site_fract_z
K1 K 0.000 0.000 0.000
Si1 Si 0.000 0.000 0.500
Tc1 Tc 0.500 0.500 0.000
Ir1 Ir 0.000 0.500 0.500
# - Formation energy without anion corrections: 1.227 eV/atom


# Li2CuPO4 SCAN PBEsol geometry
data_Li2CuPO4
_chemical_formula_sum 'Li4 Cu2 P2 O8'
_cell_length_a 5.367
_cell_length_b 4.890
_cell_length_c 6.125
_cell_angle_alpha 90.00
_cell_angle_beta 92.36
_cell_angle_gamma 90.00
_space_group_name_H-M_alt 'P 1 21 1'
_space_group_IT_number 4
loop_
_space_group_symop_operation_xyz
'x,y,z'
'-x,y+1/2,-z'
loop_
_atom_site_label
_atom_site_type_symbol
_atom_site_fract_x
_atom_site_fract_y
_atom_site_fract_z
Li1 Li 0.156 0.000 0.251
Li2 Li 0.336 0.502 0.003
Cu1 Cu 0.380 0.467 0.505
P1 P 0.159 0.006 0.760
O1 O 0.115 0.404 0.235
O2 O 0.169 0.323 0.754
O3 O 0.272 0.891 0.547
O4 O 0.310 0.901 0.965
# - ΔE to the lowest computed polymorph: 11.6 meV/atom
# - Formation energy without anion corrections: -2.160 eV/atom


# ZrTaTc2Ni SCAN PBEsol geometry
data_ZrTaTc2Ni
_chemical_formula_sum 'Zr1 Ta1 Tc2 Ni1'
_cell_length_a 4.557
_cell_length_b 4.557
_cell_length_c 4.812
_cell_angle_alpha 90.00
_cell_angle_beta 90.00
_cell_angle_gamma 90.00
_space_group_name_H-M_alt 'P 4/m m m'
_space_group_IT_number 123
_space_group_name_Hall '-P 4 2'
loop_
_atom_site_label
_atom_site_type_symbol
_atom_site_fract_x
_atom_site_fract_y
_atom_site_fract_z
Zr1 Zr 0.000 0.000 0.000
Ta1 Ta 0.000 0.000 0.500
Tc1 Tc 0.000 0.500 0.000
Ni1 Ni 0.500 0.500 0.500
# - Formation enthalpy at 0 K: 2.296 eV/atom


# Co3Ni9P4 SCAN PBEsol geometry
data_Co3Ni9P4
_chemical_formula_sum 'Co3 Ni9 P4'
_cell_length_a 4.293
_cell_length_b 6.610
_cell_length_c 6.611
_cell_angle_alpha 84.20
_cell_angle_beta 71.11
_cell_angle_gamma 71.17
_space_group_name_H-M_alt 'P 1'
_space_group_IT_number 1
loop_
_space_group_symop_operation_xyz
'x,y,z'
loop_
_atom_site_label
_atom_site_type_symbol
_atom_site_fract_x
_atom_site_fract_y
_atom_site_fract_z
Co1 Co 0.000 0.000 0.000
Co2 Co 0.211 0.640 0.936
Co3 Co 0.532 0.785 0.154
Ni1 Ni 0.245 0.487 0.569
Ni2 Ni 0.273 0.871 0.575
Ni3 Ni 0.400 0.209 0.016
Ni4 Ni 0.518 0.153 0.363
Ni5 Ni 0.692 0.854 0.783
Ni6 Ni 0.804 0.218 0.633
Ni7 Ni 0.838 0.431 0.916
Ni8 Ni 0.872 0.420 0.299
Ni9 Ni 0.928 0.769 0.357
P1 P 0.093 0.057 0.300
P2 P 0.290 0.155 0.728
P3 P 0.389 0.486 0.206
P4 P 0.662 0.582 0.634
# - Formation enthalpy at 0 K: -0.375 eV/atom


# BPdSI2 SCAN PBEsol geometry
data_BPdSI2
_chemical_formula_sum 'B1 Pd1 S1 I2'
_cell_length_a 5.038
_cell_length_b 5.038
_cell_length_c 4.083
_cell_angle_alpha 90.00
_cell_angle_beta 90.00
_cell_angle_gamma 90.00
_space_group_name_H-M_alt 'P 4/m m m'
_space_group_IT_number 123
_space_group_name_Hall '-P 4 2'
loop_
_atom_site_label
_atom_site_type_symbol
_atom_site_fract_x
_atom_site_fract_y
_atom_site_fract_z
B1 B 0.000 0.000 0.000
Pd1 Pd 0.000 0.000 0.500
S1 S 0.500 0.500 0.500
I1 I 0.000 0.500 0.000
# - Formation energy without anion corrections: 1.031 eV/atom


# NbCdSeBr2 SCAN PBEsol geometry
data_NbCdSeBr2
_chemical_formula_sum 'Nb1 Cd1 Se1 Br2'
_cell_length_a 5.167
_cell_length_b 5.167
_cell_length_c 5.265
_cell_angle_alpha 90.00
_cell_angle_beta 90.00
_cell_angle_gamma 90.00
_space_group_name_H-M_alt 'P 4/m m m'
_space_group_IT_number 123
_space_group_name_Hall '-P 4 2'
loop_
_atom_site_label
_atom_site_type_symbol
_atom_site_fract_x
_atom_site_fract_y
_atom_site_fract_z
Nb1 Nb 0.000 0.000 0.000
Cd1 Cd 0.500 0.500 0.500
Se1 Se 0.500 0.500 0.000
Br1 Br 0.000 0.500 0.500
# - Formation energy without anion corrections: 0.321 eV/atom


| no. | total magnetic moment (Bohr magnetons per cell) |
| --- | --- |
| 1 | 0.0 |
| 2 | 11.7 |
| 3 | 4.4 |
| 4 | 0.1 |
| 5 | 0.0 |
| 6 | 5.1 |
| 7 | 0.0 |
| 8 | 3.0 |